VASP calculation (GGA+U) on a relaxed LiMoPbF6 crystal.

The structure in POSCAR format:
```
LiMoPbF6
1.0
5.4939 0.0000 0.0000
-2.7469 4.7579 0.0000
0.0000 0.0000 10.6572
Pb F Mo Li
2 12 2 2
Direct
0.0000 0.0000 0.0000
0.0000 0.0000 0.5000
0.6405 0.6418 0.1432
0.9986 0.6405 0.8568
0.6418 0.0014 0.8568
0.0014 0.3595 0.1432
0.0014 0.6418 0.3568
0.6418 0.6405 0.6432
0.9986 0.3582 0.6432
0.3595 0.0014 0.6432
0.3595 0.3582 0.8568
0.3582 0.3595 0.3568
0.3582 0.9986 0.1432
0.6405 0.9986 0.3568
0.3333 0.6667 0.7500
0.6667 0.3333 0.2500
0.6667 0.3333 0.7500
0.3333 0.6667 0.2500
```

Electronic total energy, eV/cell: -95.0
Magnetization, μB per formula unit: 3.000
Space-group type: P-31c (163)